1.
# YTcAs2Se

YTcAs2Se at its PBEsol-relaxed geometry (meta-GGA SCAN, Alexandria via LeMat-Bulk).

symmetry: P4/mmm, No. 123
raw formation energy: 0.793 eV per atom
Fermi-level density of states: 0.689 states/eV per atom
total energy: -23.8794 eV/atom
M_tot: 0.72 μB/atom

Cell and atoms, written as POSCAR:
```
YTcAs2Se
1.0
5.280 0.000 0.000
0.000 5.280 0.000
0.000 0.000 5.235
Y Tc As Se
1 1 2 1
direct
0.000 0.000 0.000
0.500 0.500 0.500
0.000 0.500 0.000
0.500 0.000 0.000
0.000 0.000 0.500
```


2.
# TeAsSe2

TeAsSe2 at its PBEsol-relaxed geometry (meta-GGA SCAN, Alexandria via LeMat-Bulk).

symmetry: F-43m, No. 216
energy above the lowest structure with this stoichiometry: 0.2411 eV/atom
raw formation energy: 0.506 eV per atom
Fermi-level density of states: 0.630 states/eV per atom
total energy: -23.8935 eV/atom
M_tot: 0.00 μB/atom

Cell and atoms, written as POSCAR:
```
TeAsSe2
1.0
0.000 3.474 3.474
3.474 0.000 3.474
3.474 3.474 0.000
Te As Se
1 1 2
direct
0.000 0.000 0.000
0.750 0.750 0.750
0.250 0.250 0.250
0.500 0.500 0.500
```


3.
# Te2AsSe

Te2AsSe at its PBEsol-relaxed geometry (meta-GGA SCAN, Alexandria via LeMat-Bulk).

symmetry: R-3m, No. 166
raw formation energy: 0.204 eV per atom
Fermi-level density of states: 0.521 states/eV per atom
total energy: -28.4884 eV/atom
M_tot: 0.00 μB/atom

Cell and atoms, written as POSCAR:
```
Te2AsSe
1.0
1.944 1.122 8.859
-1.944 1.122 8.859
0.000 -2.245 8.859
Te As Se
2 1 1
direct
0.099 0.099 0.099
0.901 0.901 0.901
0.500 0.500 0.500
0.000 0.000 0.000
```


4.
# TeAsSe

TeAsSe at its PBEsol-relaxed geometry (meta-GGA SCAN, Alexandria via LeMat-Bulk).

symmetry: Fmm2, No. 42
energy above the lowest structure with this stoichiometry: 0.0611 eV/atom
raw formation energy: 0.354 eV per atom
Fermi-level density of states: 0.571 states/eV per atom
total energy: -25.4865 eV/atom
M_tot: 0.00 μB/atom

Cell and atoms, written as POSCAR:
```
TeAsSe
1.0
0.000 2.637 7.272
1.816 0.000 7.272
1.816 2.637 0.000
Te As Se
1 1 1
direct
0.000 0.000 0.000
0.328 0.328 0.672
0.706 0.706 0.294
```


5.
# TeAsSe2

TeAsSe2 at its PBEsol-relaxed geometry (meta-GGA SCAN, Alexandria via LeMat-Bulk).

symmetry: Cmmm, No. 65
energy above the lowest structure with this stoichiometry: 0.0000 eV/atom
raw formation energy: 0.265 eV per atom
Fermi-level density of states: 0.694 states/eV per atom
total energy: -24.1346 eV/atom
M_tot: 0.01 μB/atom

Cell and atoms, written as POSCAR:
```
TeAsSe2
1.0
1.897 -3.503 0.000
1.897 3.503 0.000
0.000 0.000 7.658
Te As Se
1 1 2
direct
0.000 0.000 0.000
0.000 0.000 0.500
0.500 0.500 0.270
0.500 0.500 0.730
```


6.
# TeAs2Se

TeAs2Se at its PBEsol-relaxed geometry (meta-GGA SCAN, Alexandria via LeMat-Bulk).

symmetry: P2/m, No. 10
energy above the lowest structure with this stoichiometry: 0.0000 eV/atom
raw formation energy: 0.093 eV per atom
Fermi-level density of states: 0.375 states/eV per atom
total energy: -24.3351 eV/atom
M_tot: 0.00 μB/atom

Cell and atoms, written as POSCAR:
```
TeAs2Se
1.0
4.849 0.000 0.000
0.000 4.030 0.000
-1.635 0.000 4.803
Te As Se
1 2 1
direct
0.000 0.000 0.000
0.227 0.500 0.711
0.773 0.500 0.289
0.500 0.000 0.500
```